VASP calculation (GGA-PBE) on Ta2ZnCd after structural relaxation.

Cell: 3.988 3.988 4.452 Å, 90.00 90.00 90.00°
Space group P4/mmm (No. 123)
Symmetry-distinct sites (fractional):
Ta: 0.000 0.500 0.000 [2 per cell]
Zn: 0.000 0.000 0.500 [1 per cell]
Cd: 0.500 0.500 0.500 [1 per cell]

- Calculated formation energy: 210.1 meV per atom
- Magnetization: 0.00 Bohr magnetons per cell
- Offset from the most stable computed form: 130 meV per atom